! Ce6Mg23Si | the Alexandria database | PBE | relaxed; values from VASP
! Symmetry: Fm-3m, No. 225
! DOS at the Fermi energy: 1.7216 states/eV per atom
! VASP energy: -2.655 eV per atom
&SYSTEM
  ibrav = 0, nat = 30, ntyp = 3
/
ATOMIC_SPECIES
Ce 140.12 Ce.upf
Mg 24.30 Mg.upf
Si 28.09 Si.upf
CELL_PARAMETERS angstrom
0.000 7.222 7.222
7.222 0.000 7.222
7.222 7.222 0.000
ATOMIC_POSITIONS angstrom
Ce 7.222 7.222 2.924
Ce 7.222 2.924 7.222
Ce 11.520 7.222 7.222
Ce 2.924 7.222 7.222
Ce 7.222 11.520 7.222
Ce 7.222 7.222 11.520
Mg 3.611 3.611 0.000
Mg 3.611 0.000 3.611
Mg 7.222 3.611 3.611
Mg 8.972 5.472 5.472
Mg 2.449 2.449 2.449
Mg 4.773 4.773 2.449
Mg 4.773 2.449 4.773
Mg 5.472 5.472 5.472
Mg 8.972 8.972 5.472
Mg 8.972 5.472 8.972
Mg 2.449 4.773 4.773
Mg 0.000 3.611 3.611
Mg 3.611 7.222 3.611
Mg 3.611 3.611 7.222
Mg 7.222 7.222 7.222
Mg 11.995 9.671 9.671
Mg 5.472 8.972 5.472
Mg 5.472 5.472 8.972
Mg 8.972 8.972 8.972
Mg 9.671 11.995 9.671
Mg 9.671 9.671 11.995
Mg 11.995 11.995 11.995
Mg 5.472 8.972 8.972
Si 0.000 0.000 0.000

---

! Ce2MgSi3 | the Alexandria database | PBE | relaxed; values from VASP
! Symmetry: Fmmm, No. 69
! DOS at the Fermi energy: 1.8597 states/eV per atom
! VASP energy: -5.434 eV per atom
&SYSTEM
  ibrav = 0, nat = 12, ntyp = 3
/
ATOMIC_SPECIES
Ce 140.12 Ce.upf
Mg 24.30 Mg.upf
Si 28.09 Si.upf
CELL_PARAMETERS angstrom
0.000 4.253 7.321
4.128 0.000 7.321
4.128 4.253 0.000
ATOMIC_POSITIONS angstrom
Ce 6.265 4.253 7.321
Ce 2.064 2.127 3.661
Ce 6.192 6.380 10.982
Ce 1.991 4.253 7.321
Mg 4.128 4.253 4.903
Mg 4.128 4.253 9.739
Si 4.128 4.253 2.373
Si 4.128 2.065 6.139
Si 4.128 2.065 8.503
Si 4.128 6.442 6.139
Si 4.128 6.442 8.503
Si 4.128 4.253 12.269

---

! Ce2MgSi | the Alexandria database | PBE | relaxed; values from VASP
! Symmetry: R-3m, No. 166
! DOS at the Fermi energy: 2.0685 states/eV per atom
! VASP energy: -4.654 eV per atom
&SYSTEM
  ibrav = 0, nat = 12, ntyp = 3
/
ATOMIC_SPECIES
Ce 140.12 Ce.upf
Mg 24.30 Mg.upf
Si 28.09 Si.upf
CELL_PARAMETERS angstrom
3.074 0.000 0.000
-1.537 2.662 0.000
0.000 0.000 34.660
ATOMIC_POSITIONS angstrom
Ce 0.000 0.000 3.295
Ce 0.000 0.000 31.366
Ce 0.000 1.775 19.812
Ce 0.000 1.775 26.401
Ce 1.537 0.887 8.259
Ce 1.537 0.887 14.848
Mg 0.000 0.000 0.000
Mg 0.000 1.775 23.107
Mg 1.537 0.887 11.553
Si 0.000 0.000 17.330
Si 0.000 1.775 5.777
Si 1.537 0.887 28.884

---

! CeSmMgSi | the Alexandria database | PBE | relaxed; values from VASP
! Symmetry: F-43m, No. 216
! DOS at the Fermi energy: 2.0272 states/eV per atom
! VASP energy: -4.642 eV per atom
&SYSTEM
  ibrav = 0, nat = 16, ntyp = 4
/
ATOMIC_SPECIES
Ce 140.12 Ce.upf
Sm 150.36 Sm.upf
Mg 24.30 Mg.upf
Si 28.09 Si.upf
CELL_PARAMETERS angstrom
7.338 0.000 0.000
0.000 7.338 0.000
0.000 0.000 7.338
ATOMIC_POSITIONS angstrom
Ce 0.000 0.000 0.000
Ce 0.000 3.669 3.669
Ce 3.669 0.000 3.669
Ce 3.669 3.669 0.000
Sm 0.000 0.000 3.669
Sm 0.000 3.669 0.000
Sm 3.669 0.000 0.000
Sm 3.669 3.669 3.669
Mg 1.835 1.835 1.835
Mg 1.835 5.504 5.504
Mg 5.504 1.835 5.504
Mg 5.504 5.504 1.835
Si 1.835 1.835 5.504
Si 1.835 5.504 1.835
Si 5.504 1.835 1.835
Si 5.504 5.504 5.504

---

! CeMgZnSi | the Alexandria database | PBE | relaxed; values from VASP
! Symmetry: F-43m, No. 216
! DOS at the Fermi energy: 1.1571 states/eV per atom
! VASP energy: -3.856 eV per atom
&SYSTEM
  ibrav = 0, nat = 16, ntyp = 4
/
ATOMIC_SPECIES
Ce 140.12 Ce.upf
Mg 24.30 Mg.upf
Zn 65.41 Zn.upf
Si 28.09 Si.upf
CELL_PARAMETERS angstrom
6.864 0.000 0.000
0.000 6.864 0.000
0.000 0.000 6.864
ATOMIC_POSITIONS angstrom
Ce 0.000 0.000 0.000
Ce 0.000 3.432 3.432
Ce 3.432 0.000 3.432
Ce 3.432 3.432 0.000
Mg 0.000 0.000 3.432
Mg 0.000 3.432 0.000
Mg 3.432 0.000 0.000
Mg 3.432 3.432 3.432
Zn 1.716 1.716 1.716
Zn 1.716 5.148 5.148
Zn 5.148 1.716 5.148
Zn 5.148 5.148 1.716
Si 1.716 1.716 5.148
Si 1.716 5.148 1.716
Si 5.148 1.716 1.716
Si 5.148 5.148 5.148

---

! Ce2MgZn4Si3 | the Alexandria database | PBE | relaxed; values from VASP
! Symmetry: P-4m2, No. 115
! DOS at the Fermi energy: 1.3511 states/eV per atom
! VASP energy: -3.823 eV per atom
&SYSTEM
  ibrav = 0, nat = 10, ntyp = 4
/
ATOMIC_SPECIES
Ce 140.12 Ce.upf
Mg 24.30 Mg.upf
Zn 65.41 Zn.upf
Si 28.09 Si.upf
CELL_PARAMETERS angstrom
4.153 0.000 0.000
0.000 4.153 0.000
0.000 0.000 10.826
ATOMIC_POSITIONS angstrom
Ce 0.000 2.077 2.601
Ce 2.077 0.000 8.225
Mg 0.000 0.000 5.413
Zn 0.000 0.000 0.000
Zn 0.000 2.077 6.950
Zn 2.077 0.000 3.876
Zn 2.077 2.077 0.000
Si 0.000 2.077 9.358
Si 2.077 0.000 1.468
Si 2.077 2.077 5.413

---

! CeSm3Mg4 | the Alexandria database | PBE | relaxed; values from VASP
! Calculated formation energy: -0.054 eV per atom
! Symmetry: Pmmm, No. 47
! DOS at the Fermi energy: 1.5548 states/eV per atom
&SYSTEM
  ibrav = 0, nat = 8, ntyp = 3
/
ATOMIC_SPECIES
Ce 140.12 Ce.upf
Sm 150.36 Sm.upf
Mg 24.30 Mg.upf
CELL_PARAMETERS angstrom
3.825 0.000 0.000
0.000 5.450 0.000
0.000 0.000 10.901
ATOMIC_POSITIONS angstrom
Ce 0.000 0.000 0.000
Sm 0.000 0.000 5.451
Sm 0.000 2.725 2.709
Sm 0.000 2.725 8.192
Mg 1.912 0.000 2.742
Mg 1.912 0.000 8.159
Mg 1.912 2.725 0.000
Mg 1.912 2.725 5.451

---

! Ce4SmMg | the Alexandria database | PBE | relaxed; values from VASP
! Calculated formation energy: 0.228 eV per atom
! Symmetry: F-43m, No. 216
! DOS at the Fermi energy: 2.5094 states/eV per atom
&SYSTEM
  ibrav = 0, nat = 6, ntyp = 3
/
ATOMIC_SPECIES
Ce 140.12 Ce.upf
Sm 150.36 Sm.upf
Mg 24.30 Mg.upf
CELL_PARAMETERS angstrom
0.000 4.444 4.444
4.444 0.000 4.444
4.444 4.444 0.000
ATOMIC_POSITIONS angstrom
Ce 1.010 1.010 1.010
Ce 3.434 3.434 1.010
Ce 3.434 1.010 3.434
Ce 1.010 3.434 3.434
Sm 4.444 4.444 4.444
Mg 6.666 6.666 6.666

---

! CeSmMg17 | the Alexandria database | PBE | relaxed; values from VASP
! Calculated formation energy: -0.026 eV per atom
! Symmetry: R3m, No. 160
! DOS at the Fermi energy: 0.8046 states/eV per atom
&SYSTEM
  ibrav = 0, nat = 19, ntyp = 3
/
ATOMIC_SPECIES
Ce 140.12 Ce.upf
Sm 150.36 Sm.upf
Mg 24.30 Mg.upf
CELL_PARAMETERS angstrom
5.129 2.961 5.073
-5.129 2.961 5.073
0.000 -5.923 5.073
ATOMIC_POSITIONS angstrom
Ce 0.000 0.000 0.000
Sm 0.000 0.000 10.065
Mg -1.559 -2.687 5.039
Mg -3.106 -0.007 5.039
Mg -2.608 -1.506 7.798
Mg 0.000 0.000 3.543
Mg 0.000 -2.982 7.564
Mg -2.583 1.491 7.564
Mg 1.559 -2.687 5.039
Mg -1.547 2.693 5.039
Mg 0.000 0.000 6.556
Mg -2.489 -1.437 12.438
Mg 3.106 -0.007 5.039
Mg 1.547 2.693 5.039
Mg 2.608 -1.506 7.798
Mg 0.000 3.012 7.798
Mg 2.583 1.491 7.564
Mg 2.489 -1.437 12.438
Mg 0.000 2.875 12.438

---

! CeSm5Mg6 | the Alexandria database | PBE | relaxed; values from VASP
! Calculated formation energy: -0.070 eV per atom
! Symmetry: Cmmm, No. 65
! DOS at the Fermi energy: 1.3942 states/eV per atom
&SYSTEM
  ibrav = 0, nat = 12, ntyp = 3
/
ATOMIC_SPECIES
Ce 140.12 Ce.upf
Sm 150.36 Sm.upf
Mg 24.30 Mg.upf
CELL_PARAMETERS angstrom
2.718 -8.153 0.000
2.718 8.153 0.000
0.000 0.000 7.702
ATOMIC_POSITIONS angstrom
Ce 0.000 0.000 0.000
Sm 0.000 0.000 3.851
Sm 2.718 2.709 0.000
Sm 2.718 2.690 3.851
Sm 2.718 -2.690 3.851
Sm 2.718 -2.709 0.000
Mg 2.718 5.421 1.932
Mg 2.718 5.421 5.771
Mg 2.718 0.000 1.926
Mg 2.718 0.000 5.776
Mg 2.718 -5.421 1.932
Mg 2.718 -5.421 5.771

---

! CeSmMg | the Alexandria database | PBE | relaxed; values from VASP
! Calculated formation energy: 0.126 eV per atom
! Symmetry: P-6m2, No. 187
! DOS at the Fermi energy: 1.9110 states/eV per atom
! Energy above the most stable polymorph in this dataset: 126 meV per atom
&SYSTEM
  ibrav = 0, nat = 3, ntyp = 3
/
ATOMIC_SPECIES
Ce 140.12 Ce.upf
Sm 150.36 Sm.upf
Mg 24.30 Mg.upf
CELL_PARAMETERS angstrom
5.510 0.000 0.000
-2.755 4.771 0.000
0.000 0.000 3.157
ATOMIC_POSITIONS angstrom
Ce 0.000 0.000 0.000
Sm 0.000 3.181 0.000
Mg 2.755 1.590 1.578